VASP calculation (PBE) on a relaxed structure of ScGa2Pt4.

The structure in POSCAR format:
```
ScGa2Pt4
1.0
4.173 0.000 0.000
0.000 7.023 0.000
0.000 0.000 16.111
Sc Pt Ga
4 16 8
Direct
0.750 0.573 0.148
0.250 0.427 0.852
0.250 0.073 0.352
0.750 0.927 0.648
0.250 0.897 0.174
0.250 0.444 0.443
0.750 0.602 0.951
0.250 0.603 0.674
0.750 0.898 0.451
0.250 0.161 0.716
0.750 0.839 0.284
0.250 0.398 0.049
0.250 0.339 0.216
0.750 0.661 0.784
0.750 0.944 0.057
0.750 0.556 0.557
0.250 0.102 0.549
0.250 0.056 0.943
0.750 0.397 0.326
0.750 0.103 0.826
0.250 0.747 0.024
0.250 0.859 0.810
0.750 0.359 0.690
0.250 0.641 0.310
0.750 0.253 0.976
0.750 0.141 0.190
0.250 0.753 0.524
0.750 0.247 0.476
```

Calculated values
Energy of formation: -0.79 eV per atom

VASP calculation (PBE) on a relaxed structure of Sc4Ga3Pt.

The structure in POSCAR format:
```
Sc4Ga3Pt
1.0
3.497 0.000 0.000
0.000 4.237 0.000
0.000 0.000 10.524
Pt Ga Sc
1 3 4
Direct
0.500 0.500 0.081
0.000 0.500 0.578
0.000 0.000 0.423
0.500 0.000 0.917
0.000 0.500 0.863
0.500 0.500 0.343
0.500 0.000 0.652
0.000 0.000 0.143
```

Calculated values
Energy of formation: -0.77 eV per atom
E above lowest polymorph: 0 meV/atom